1.
8
Lattice="2.9269 -5.0696 0.0000 2.9269 5.0696 0.0000 0.0000 0.0000 4.5018" Properties=species:S:1:pos:R:3 comment="GGA-PBE TlRe3, relaxed" rho_g_cm3=19.0 dos_at_fermi_per_ev_cell=11.22 pbc="T T T"
Re 2.9269 3.4914 3.3764
Re 1.3667 0.7891 3.3764
Re 4.4871 0.7891 3.3764
Re 4.4871 -0.7891 1.1255
Re 2.9269 -3.4914 1.1255
Re 1.3667 -0.7891 1.1255
Tl 2.9269 1.6899 1.1255
Tl 2.9269 -1.6899 3.3764

=====

2.
7
Lattice="2.7297 -4.7280 0.0000 2.7297 4.7280 0.0000 0.0000 0.0000 5.5518" Properties=species:S:1:pos:R:3 comment="GGA-PBE Tl4Re3, relaxed" rho_g_cm3=15.9 dos_at_fermi_per_ev_cell=6.13 pbc="T T T"
Re 2.7297 0.0000 0.0000
Re 1.3649 -2.3640 0.0000
Re 1.3649 2.3640 0.0000
Tl 0.0000 0.0000 4.1560
Tl 2.7297 1.5760 2.7759
Tl 0.0000 0.0000 1.3958
Tl 2.7297 -1.5760 2.7759

=====

3.
6
Lattice="-3.4633 4.4632 0.3667 -2.1157 -5.2475 0.1885 0.5382 -0.0239 5.3739" Properties=species:S:1:pos:R:3 comment="GGA-PBE Tl5Re, relaxed" rho_g_cm3=13.4 dos_at_fermi_per_ev_cell=4.07 pbc="T T T"
Re 0.2691 -0.0120 2.6870
Tl -1.4581 -3.6164 0.1299
Tl -2.2958 -2.0226 2.9349
Tl -2.7450 1.2143 2.9943
Tl -2.3867 3.0758 0.2527
Tl -1.7342 -0.2438 0.1726

=====

4.
8
Lattice="2.0979 -3.6336 0.0000 2.0979 3.6336 0.0000 0.0000 0.0000 13.3113" Properties=species:S:1:pos:R:3 comment="GGA-PBE TlRe, relaxed" rho_g_cm3=12.8 dos_at_fermi_per_ev_cell=7.33 pbc="T T T"
Tl 2.0979 -1.2112 12.0707
Tl 2.0979 1.2112 5.4150
Tl 2.0979 1.2112 1.2407
Tl 2.0979 -1.2112 7.8963
Re 2.0979 1.2112 9.9835
Re 0.0000 0.0000 9.9835
Re 0.0000 0.0000 3.3278
Re 2.0979 -1.2112 3.3278

=====

5.
4
Lattice="6.4900 0.0292 0.0006 3.9040 5.1846 -0.0006 -4.6737 -3.6503 2.6370" Properties=species:S:1:pos:R:3 comment="GGA-PBE TlRe, relaxed" rho_g_cm3=14.7 dos_at_fermi_per_ev_cell=2.29 pbc="T T T"
Re 9.8932 4.9626 0.0000
Re 4.0075 -0.2559 1.3188
Tl 5.4088 2.7131 0.0000
Tl 2.0020 1.9644 1.3182

=====

6.
4
Lattice="-0.3447 1.8207 2.3154 -2.3707 -0.9367 -1.5155 -0.8808 -8.9686 6.9211" Properties=species:S:1:pos:R:3 comment="GGA-PBE TlRe, relaxed" rho_g_cm3=15.0 dos_at_fermi_per_ev_cell=2.75 pbc="T T T"
Tl -1.7232 -6.2581 6.5636
Tl -0.3979 -4.0512 3.1263
Re -1.2067 -0.9994 2.5054
Re -0.0335 -0.3412 0.2633

=====

7.
8
Lattice="2.4718 -4.2813 0.0000 2.4718 4.2813 0.0000 0.0000 0.0000 7.8794" Properties=species:S:1:pos:R:3 comment="GGA-PBE TlRe, relaxed" rho_g_cm3=15.6 dos_at_fermi_per_ev_cell=6.29 pbc="T T T"
Re 2.4718 -1.4271 7.1291
Re 2.4718 1.4271 0.7503
Re 2.4718 1.4271 3.1894
Re 2.4718 -1.4271 4.6900
Tl 2.4718 -1.4271 1.9698
Tl 2.4718 1.4271 5.9095
Tl 0.0000 0.0000 1.9698
Tl 0.0000 0.0000 5.9095

=====

8.
4
Lattice="-3.3000 4.4519 3.8658 -2.2717 1.1385 6.2608 0.6235 4.0673 5.3593" Properties=species:S:1:pos:R:3 comment="GGA-PBE TlRe, relaxed" rho_g_cm3=13.4 dos_at_fermi_per_ev_cell=1.78 pbc="T T T"
Tl -0.5220 1.0189 1.6337
Tl -4.4262 8.6389 13.8521
Re -1.6145 3.1511 5.0527
Re -3.3337 6.5067 10.4332

=====

no.,E above lowest polymorph (meV/atom),ΔH_f (0 K) (eV/f.u.)
1,374,3.606
2,186,6.608
3,280,4.616
4,399,1.766
5,502,1.972
6,156,1.281
7,959,2.886
8,356,1.681